DFT (PBE with a Hubbard U) results for a geometry-optimized KNa4Mn3F12 structure.

## Properties
- calculated density (g cm⁻³) = 3.04
- SG = Im-3
- crystal system = cubic
- magnetization (μB/f.u.) = 14.00
- VASP energy (eV per atom) = -5.191

abc: 7.190 7.190 7.190
angles: 109.47 109.47 109.47
Atoms (fractional coordinates):
F (0.671, 0.167, 0.838)
F (0.838, 0.671, 0.167)
F (0.167, 0.838, 0.671)
F (0.833, 0.162, 0.329)
F (0.833, 0.504, 0.671)
F (0.167, 0.496, 0.329)
F (0.496, 0.329, 0.167)
F (0.329, 0.167, 0.496)
F (0.504, 0.671, 0.833)
F (0.162, 0.329, 0.833)
F (0.329, 0.833, 0.162)
F (0.671, 0.833, 0.504)
Mn (0.500, 0.000, 0.500)
Mn (0.500, 0.500, 0.000)
Mn (0.000, 0.500, 0.500)
Na (0.500, 0.000, 0.000)
Na (0.000, 0.000, 0.500)
Na (0.500, 0.500, 0.500)
Na (0.000, 0.500, 0.000)
K (0.000, 0.000, 0.000)